Record 1
CoP2Pt | PBE-GGA | relaxed

extended XYZ file:
```
4
Lattice="-0.671 2.886 -1.535 -1.025 -1.674 -2.699 -4.545 -0.104 1.790" Properties=species:S:1:pos:R:3 pbc="T T T"
Co -4.536 0.522 -0.665
P -4.234 -0.097 1.668
P -2.233 0.574 -1.572
Pt -2.056 -0.047 0.810
```

final energy: -6.157 eV/atom
formation enthalpy at 0 K: -0.1657 eV per atom
M_tot: 0.00 μB per cell
theoretical density: 9.6 Mg/m³



Record 2
Cr2InP | PBE-GGA | relaxed

extended XYZ file:
```
4
Lattice="-1.774 0.521 -4.295 -2.264 -4.024 -0.740 -0.387 2.897 3.650" Properties=species:S:1:pos:R:3 pbc="T T T"
Cr 0.000 0.000 0.000
Cr -2.019 -1.751 -2.517
In -2.335 -1.439 0.197
P -2.090 0.833 -1.581
```

final energy: -6.422 eV/atom
formation enthalpy at 0 K: 0.4269 eV per atom
M_tot: 5.28 μB per cell
theoretical density: 6.7 Mg/m³



Record 3
CrCuPt3 | PBE-GGA | relaxed

extended XYZ file:
```
5
Lattice="4.556 0.000 0.000 0.000 4.556 0.000 0.000 0.000 4.556" Properties=species:S:1:pos:R:3 pbc="T T T"
Cr 2.278 2.278 2.278
Cu 0.000 0.000 0.000
Pt 0.000 2.278 0.000
Pt 0.000 0.000 2.278
Pt 2.278 0.000 0.000
```

final energy: -5.430 eV/atom
formation enthalpy at 0 K: 0.9381 eV per atom
M_tot: 3.74 μB per cell
theoretical density: 12.3 Mg/m³



Record 4
Rb2CoHgI6 | PBE-GGA | relaxed

extended XYZ file:
```
10
Lattice="8.462 0.000 0.000 0.000 8.462 0.000 4.231 4.231 5.785" Properties=species:S:1:pos:R:3 pbc="T T T"
I 4.231 4.231 3.019
I 8.462 8.462 2.766
I 2.399 2.399 0.000
I 6.063 6.063 0.000
I 6.063 2.399 0.000
I 2.399 6.063 0.000
Co 4.231 4.231 0.000
Hg 0.000 0.000 0.000
Rb 8.462 4.231 2.893
Rb 4.231 8.462 2.893
```

final energy: -2.470 eV/atom
M_tot: 1.00 μB per cell
theoretical density: 4.8 Mg/m³
E_form (uncorrected): -606 meV per atom



Record 5
GeAs2Ru | PBE-GGA | relaxed

extended XYZ file:
```
4
Lattice="-0.664 2.678 -0.826 0.181 0.737 -2.778 -9.688 -1.643 -2.560" Properties=species:S:1:pos:R:3 pbc="T T T"
Ru 0.000 0.000 0.000
As -7.400 -0.975 -2.234
As -2.771 2.746 -3.930
Ge -5.086 0.886 -3.082
```

final energy: -5.333 eV/atom
formation enthalpy at 0 K: 0.4648 eV per atom
M_tot: 0.00 μB per cell
theoretical density: 7.5 Mg/m³



Record 6
RbHfTlSe3 | PBE-GGA | relaxed

extended XYZ file:
```
12
Lattice="-5.186 4.826 -0.060 -3.961 -1.637 6.559 2.581 4.133 7.270" Properties=species:S:1:pos:R:3 pbc="T T T"
Rb -0.923 2.943 5.323
Rb -5.643 4.380 8.445
Hf -1.751 7.273 6.838
Hf -4.816 0.050 6.930
Tl -1.492 3.658 9.838
Tl -5.074 3.665 3.930
Se -3.496 4.888 12.038
Se -3.821 8.180 8.325
Se -3.210 5.689 5.562
Se -3.070 2.435 1.731
Se -2.745 -0.857 5.444
Se -3.356 1.634 8.207
```

final energy: -5.050 eV/atom
M_tot: 0.00 μB per cell
theoretical density: 5.5 Mg/m³
E_form (uncorrected): -1093 meV per atom